RbLiCo2F8, optimized geometry, DFT PBE with a Hubbard U; E = -4.509 eV/atom; density = 3.3 g cm⁻³; total magnetic moment = 4.0 μB per cell
1.0
-1.691 -3.530 2.826
2.572 -3.601 -1.843
5.616 1.686 5.262
Rb Li Co F
1 1 2 8
direct
0.000 0.000 0.500
0.000 0.000 0.000
0.498 0.484 0.812
0.502 0.516 0.188
0.190 0.770 0.189
0.663 0.689 0.986
0.784 0.228 0.198
0.810 0.230 0.811
0.337 0.311 0.014
0.216 0.772 0.802
0.614 0.668 0.384
0.386 0.332 0.616